Model 1:
VASP calculation (PBE-GGA) on a geometry-optimized Nd3InGa structure.

Results
SG ... Cmcm, No. 63

a b c (Å): 5.531 5.531 12.918
angles (deg): 90.00 90.00 128.06
Fractional coordinates of all 10 atoms:
Nd 0.043 0.957 0.750
Nd 0.327 0.673 0.594
Nd 0.327 0.673 0.906
Nd 0.673 0.327 0.094
Nd 0.673 0.327 0.406
Nd 0.957 0.043 0.250
In 0.000 0.000 0.000
In 0.000 0.000 0.500
Ga 0.261 0.739 0.250
Ga 0.739 0.261 0.750

***

Model 2:
VASP calculation (PBE-GGA) on a geometry-optimized Nd3InGa structure.

Results
SG ... Fmmm, No. 69

a b c (Å): 9.718 9.183 5.985
angles (deg): 76.47 66.74 36.78
Fractional coordinates of all 10 atoms:
Nd 0.191 0.191 0.809
Nd 0.206 0.593 0.407
Nd 0.407 0.794 0.206
Nd 0.593 0.206 0.794
Nd 0.794 0.407 0.593
Nd 0.809 0.809 0.191
In 0.197 0.803 0.803
In 0.803 0.197 0.197
Ga 0.250 0.250 0.250
Ga 0.750 0.750 0.750

***

Relative energy of each structure, in meV per atom: model 1 118; model 2 0.

***

Model 1:
VASP calculation (PBE-GGA) on a geometry-optimized Nd2InGa2 structure.

Results
SG ... Cmmm, No. 65

a b c (Å): 7.338 7.338 4.342
angles (deg): 90.00 90.00 147.08
Fractional coordinates of all 5 atoms:
Nd 0.132 0.868 0.000
Nd 0.868 0.132 0.000
In 0.500 0.500 0.500
Ga 0.299 0.701 0.500
Ga 0.701 0.299 0.500

***

Model 2:
VASP calculation (PBE-GGA) on a geometry-optimized Nd2InGa2 structure.

Results
SG ... P4/mbm, No. 127

a b c (Å): 7.423 7.423 4.575
angles (deg): 90.00 90.00 90.00
Fractional coordinates of all 10 atoms:
Nd 0.174 0.326 0.000
Nd 0.326 0.826 0.000
Nd 0.674 0.174 0.000
Nd 0.826 0.674 0.000
In 0.000 0.000 0.500
In 0.500 0.500 0.500
Ga 0.124 0.624 0.500
Ga 0.376 0.124 0.500
Ga 0.624 0.876 0.500
Ga 0.876 0.376 0.500

***

Relative energy of each structure, in meV per atom: model 1 9; model 2 0.